Record 1
Computed, not measured: crystalline RbTl2CdCo at its relaxed geometry at the PBE-GGA level of DFT.

Cell lengths 5.153, 5.153, 5.282 Å; angles 90.00, 90.00, 90.00 degrees
Sites, in units of the cell vectors:
Rb  0.500  0.500  0.500
Tl  0.500  0.000  0.000
Tl  0.000  0.500  0.000
Cd  0.000  0.000  0.500
Co  0.000  0.000  0.000

* magnetic moment: 0.000 Bohr magnetons per cell
* raw total energy: -2.67 eV per atom
* SG: P4/mmm (123)

***

Record 2
Computed, not measured: crystalline Ta2SbCl at its relaxed geometry at the PBE-GGA level of DFT.

Cell lengths 2.924, 5.792, 4.733 Å; angles 90.00, 90.00, 90.00 degrees
Sites, in units of the cell vectors:
Sb  0.000  0.500  0.500
Cl  0.500  0.000  0.500
Ta  0.000  0.000  0.000
Ta  0.500  0.500  0.000

* magnetic moment: 0.000 Bohr magnetons per cell
* formation energy without anion corrections: 0.44 eV per atom
* ΔE to the lowest computed polymorph: 653 meV/atom
* SG: Pmmm (47)

***

Record 3
Computed, not measured: crystalline Mg2TlCr at its relaxed geometry at the PBE-GGA level of DFT.

Cell lengths 8.016, 8.016, 6.374 Å; angles 51.04, 51.04, 90.00 degrees
Last column: magnetic moment on the atom in μB.
Sites, in units of the cell vectors:
Mg  0.375  0.387  0.750  -0.01
Mg  0.613  0.125  0.250  -0.01
Mg  0.137  0.625  0.250  -0.01
Mg  0.875  0.863  0.750  -0.02
Tl  0.750  0.250  0.500  -0.04
Tl  0.000  0.000  0.000  -0.04
Cr  0.500  0.500  0.000  3.74
Cr  0.250  0.750  0.500  3.74

* magnetic moment: 7.993 Bohr magnetons per cell
* ΔE to the lowest computed polymorph: 273 meV/atom
* SG: I-42d (122)

***

Record 4
Computed, not measured: crystalline Ba2NdMoN4 at its relaxed geometry at the PBE-GGA level of DFT.

Cell lengths 5.937, 7.404, 7.802 Å; angles 90.00, 90.00, 90.00 degrees
Last column: magnetic moment on the atom in μB.
Sites, in units of the cell vectors:
N  0.436  0.723  0.706  0.00
N  0.379  0.087  0.500  0.00
N  0.819  0.868  0.500  0.00
N  0.436  0.723  0.294  0.00
N  0.936  0.277  0.794  0.00
N  0.879  0.913  0.000  0.00
N  0.936  0.277  0.206  0.00
N  0.319  0.132  0.000  0.00
Ba  0.971  0.659  0.251  0.08
Ba  0.471  0.341  0.751  0.08
Ba  0.471  0.341  0.249  0.08
Ba  0.971  0.659  0.749  0.08
Nd  0.486  0.855  0.000  0.09
Nd  0.986  0.145  0.500  0.09
Mo  0.003  0.151  0.000  0.08
Mo  0.503  0.849  0.500  0.08

* magnetic moment: 1.865 Bohr magnetons per cell
* formation energy without anion corrections: -0.81 eV per atom
* SG: Pmn2_1 (31)

***

Density per entry: 7.9; 10.8; 5.4; 5.5 g/cm³